Below is a relaxed structure of RbGaS2, with properties calculated at the PBE level.

abc: 7.002 7.002 5.996
angles: 105.18 105.18 110.64
Fractional coordinates of all 8 atoms:
Rb: 0.140 0.860 0.750
Rb: 0.860 0.140 0.250
Ga: 0.494 0.506 0.250
Ga: 0.506 0.494 0.750
S: 0.215 0.423 0.881
S: 0.423 0.215 0.381
S: 0.577 0.785 0.619
S: 0.785 0.577 0.119

Calculated values
As for the space group: C2/c. Its total magnetization is 0.0 μB per formula unit. The calculation puts the uncorrected formation energy at -1.029 eV per atom. As for the electronic total energy: -4.091 eV per atom.